A plane-wave DFT calculation with PBE was carried out for crystalline RbNa2CaCd at its relaxed geometry.

* electronic total energy: -6.2 eV per cell
* SG: P4/mmm
* M_tot: 0.0 μB/f.u.

Cell: 6.1581 6.1581 6.1378 Å, 90.00 90.00 90.00°
Closest atoms and distances in Å follow each position.
Fractional coordinates of all 5 atoms:
Rb  0.0000  0.0000  0.0000  8 Na 4.35, 4 Ca 4.35
Na  0.0000  0.5000  0.5000  2 Cd 3.08
Na  0.5000  0.0000  0.5000  2 Cd 3.08
Ca  0.5000  0.5000  0.0000  2 Cd 3.07
Cd  0.5000  0.5000  0.5000  2 Ca 3.07, 4 Na 3.08